1.
{
  "formula": "BeRuRh",
  "functional": "GGA-PBEsol",
  "state": "optimized geometry",
  "lattice_angstrom": [[-2.058, -1.509, -0.947], [1.776, -1.623, -1.273], [0.380, -1.106, 4.851]],
  "species": ["Ru", "Rh", "Be"],
  "frac_coords": [[0.349, 0.349, 0.698], [0.650, 0.650, 0.299], [0.001, 0.001, 0.003]],
  "rho_g_cm3": 10.37,
  "e_form_ev_per_atom": -0.23,
  "dos_at_fermi_per_ev_atom": 0.7652,
  "final_energy_ev_per_cell": -23.0
}

---

2.
{
  "formula": "BeRuRh2",
  "functional": "GGA-PBEsol",
  "state": "optimized geometry",
  "lattice_angstrom": [[2.785, 0.000, 0.000], [0.000, 4.206, 0.000], [-1.393, -2.103, 4.096]],
  "species": ["Ru", "Rh", "Rh", "Be"],
  "frac_coords": [[0.000, 0.500, 0.000], [0.780, 0.780, 0.559], [0.220, 0.220, 0.441], [0.500, 0.000, 0.000]],
  "rho_g_cm3": 10.93,
  "e_form_ev_per_atom": -0.12,
  "dos_at_fermi_per_ev_atom": 0.9151,
  "final_energy_ev_per_cell": -30.9
}

---

3.
{
  "formula": "Be3RhS",
  "functional": "GGA-PBEsol",
  "state": "optimized geometry",
  "lattice_angstrom": [[-3.597, -1.770, 1.089], [1.954, -3.622, 0.569], [0.707, 1.005, 3.969]],
  "species": ["Be", "Be", "Be", "S", "Rh"],
  "frac_coords": [[0.000, 0.500, 0.000], [0.000, 0.000, 0.500], [0.500, 0.000, 0.000], [0.500, 0.500, 0.500], [0.000, 0.000, 0.000]],
  "rho_g_cm3": 3.75,
  "dos_at_fermi_per_ev_atom": 0.3103,
  "raw_formation_energy_ev_per_atom": 0.587,
  "final_energy_ev_per_cell": -21.6
}

---

4.
{
  "formula": "BeRhS2",
  "functional": "GGA-PBEsol",
  "state": "optimized geometry",
  "lattice_angstrom": [[-0.919, 4.258, 2.505], [-2.127, -2.641, 3.708], [5.921, -1.186, -0.853]],
  "species": ["Be", "Be", "S", "S", "S", "S", "Rh", "Rh"],
  "frac_coords": [[0.750, 0.250, 0.500], [0.500, 0.500, 0.000], [0.407, 0.875, 0.250], [0.843, 0.375, 0.250], [0.125, 0.157, 0.750], [0.625, 0.593, 0.750], [0.250, 0.750, 0.500], [0.000, 0.000, 0.000]],
  "rho_g_cm3": 4.67,
  "dos_at_fermi_per_ev_atom": 0.5135,
  "raw_formation_energy_ev_per_atom": -0.500,
  "final_energy_ev_per_cell": -45.8
}